LaSmTh2Bi4 after structural relaxation. Source: the Alexandria database, functional PBE.

- Total energy: -5.79 eV per atom
- Energy of formation: -0.7872 eV/atom
- DOS at the Fermi energy: 3.78 states/eV/f.u.
- Volume: 34.687 Å³ per atom

abc: 6.525 6.524 7.986
angles: 114.11 114.11 90.00
Sites, in units of the cell vectors:
Bi 0.999 0.499 0.999
Bi 0.501 0.001 0.001
Sm 0.750 0.250 0.500
Bi 0.752 0.752 0.504
Th 0.250 0.750 0.500
La 0.500 0.500 0.000
Bi 0.248 0.248 0.496
Th 0.000 0.000 0.000